Record 1
Computed, not measured: As3WN at its PBEsol-relaxed geometry at the SCAN level of DFT.

a b c (Å): 4.186 4.186 4.186
angles (deg): 90.00 90.00 90.00
Fractional coordinates of all 5 atoms:
As1 0.000 0.500 0.000
As2 0.000 0.000 0.500
As3 0.500 0.000 0.000
W1 0.500 0.500 0.500
N1 0.000 0.000 0.000

Values from the calculation:
Space-group type: Pm-3m, No. 221
Energy relative to the elements, uncorrected (eV/atom): 1.09
V (Å³/cell): 73.3

Record 2
Computed, not measured: AsW3N at its PBEsol-relaxed geometry at the SCAN level of DFT.

a b c (Å): 4.101 4.101 4.101
angles (deg): 90.00 90.00 90.00
Fractional coordinates of all 5 atoms:
As1 0.500 0.500 0.500
W1 0.000 0.500 0.000
W2 0.000 0.000 0.500
W3 0.500 0.000 0.000
N1 0.000 0.000 0.000

Values from the calculation:
Space-group type: Pm-3m, No. 221
Energy relative to the elements, uncorrected (eV/atom): 0.48
V (Å³/cell): 69.0

Record 3
Computed, not measured: Y2AsN at its PBEsol-relaxed geometry at the SCAN level of DFT.

a b c (Å): 4.675 4.675 4.675
angles (deg): 60.00 60.00 60.00
Fractional coordinates of all 4 atoms:
Y1 0.250 0.250 0.250
Y2 0.750 0.750 0.750
As1 0.500 0.500 0.500
N1 0.000 0.000 0.000

Values from the calculation:
Space-group type: Fm-3m, No. 225
Energy relative to the elements, uncorrected (eV/atom): -0.74
V (Å³/cell): 72.2

Record 4
Computed, not measured: ZnAs3N at its PBEsol-relaxed geometry at the SCAN level of DFT.

a b c (Å): 4.759 4.759 4.759
angles (deg): 90.00 90.00 90.00
Fractional coordinates of all 5 atoms:
As1 0.000 0.500 0.000
As2 0.000 0.000 0.500
As3 0.500 0.000 0.000
Zn1 0.000 0.000 0.000
N1 0.500 0.500 0.500

Values from the calculation:
Space-group type: Pm-3m, No. 221
Energy relative to the elements, uncorrected (eV/atom): 1.69
V (Å³/cell): 107.8

Record 5
Computed, not measured: ZnAsN2 at its PBEsol-relaxed geometry at the SCAN level of DFT.

a b c (Å): 3.207 3.207 5.860
angles (deg): 74.12 74.12 60.00
Fractional coordinates of all 4 atoms:
As1 0.000 0.000 0.000
Zn1 0.500 0.500 0.500
N1 0.895 0.895 0.316
N2 0.105 0.105 0.684

Values from the calculation:
Space-group type: R-3m, No. 166
Energy relative to the elements, uncorrected (eV/atom): 0.74
V (Å³/cell): 49.5

Record 6
Computed, not measured: NaAs at its PBEsol-relaxed geometry at the SCAN level of DFT.

a b c (Å): 5.870 6.205 10.299
angles (deg): 84.46 90.00 90.00
Fractional coordinates of all 16 atoms:
Na1 0.609 0.112 0.669
Na2 0.109 0.388 0.831
Na3 0.391 0.888 0.331
Na4 0.891 0.612 0.169
Na5 0.337 0.798 0.969
Na6 0.837 0.702 0.531
Na7 0.663 0.202 0.031
Na8 0.163 0.298 0.469
As1 0.107 0.970 0.710
As2 0.607 0.530 0.790
As3 0.893 0.030 0.290
As4 0.393 0.470 0.210
As5 0.840 0.809 0.882
As6 0.340 0.691 0.618
As7 0.160 0.191 0.118
As8 0.660 0.309 0.382

Values from the calculation:
Space-group type: P2_1/c, No. 14
Offset from the most stable computed form (meV per atom): 0
V (Å³/cell): 373.4
Formation enthalpy at 0 K (kJ per mole of atoms): -47.9

Record 7
Computed, not measured: Na3As at its PBEsol-relaxed geometry at the SCAN level of DFT.

a b c (Å): 8.746 8.746 8.965
angles (deg): 90.00 90.00 120.00
Fractional coordinates of all 24 atoms:
Na1 0.000 0.000 0.701
Na2 0.000 0.000 0.201
Na3 0.667 0.333 0.276
Na4 0.333 0.667 0.776
Na5 0.667 0.333 0.776
Na6 0.333 0.667 0.276
Na7 0.000 0.703 0.918
Na8 0.703 0.703 0.418
Na9 0.297 0.000 0.418
Na10 0.703 0.000 0.918
Na11 0.297 0.297 0.918
Na12 0.000 0.297 0.418
Na13 0.000 0.636 0.580
Na14 0.636 0.636 0.080
Na15 0.364 0.000 0.080
Na16 0.636 0.000 0.580
Na17 0.364 0.364 0.580
Na18 0.000 0.364 0.080
As1 0.000 0.330 0.749
As2 0.330 0.330 0.249
As3 0.670 0.000 0.249
As4 0.330 0.000 0.749
As5 0.670 0.670 0.749
As6 0.000 0.670 0.249

Values from the calculation:
Space-group type: P6_3cm, No. 185
Offset from the most stable computed form (meV per atom): 0
V (Å³/cell): 593.8
Formation enthalpy at 0 K (kJ per mole of atoms): -50.1

Record 8
Computed, not measured: NaAs at its PBEsol-relaxed geometry at the SCAN level of DFT.

a b c (Å): 3.675 4.775 5.872
angles (deg): 113.99 90.00 90.00
Fractional coordinates of all 4 atoms:
Na1 0.750 0.863 0.726
Na2 0.250 0.137 0.274
As1 0.750 0.579 0.158
As2 0.250 0.421 0.842

Values from the calculation:
Space-group type: Cmcm, No. 63
Offset from the most stable computed form (meV per atom): 53
V (Å³/cell): 94.1
Formation enthalpy at 0 K (kJ per mole of atoms): -42.8